ScMn2Cr after structural relaxation, computed with PBE.

POSCAR file:
```
ScMn2Cr
1.0
-4.024 0.110 -0.558
0.142 -2.346 -1.486
-0.589 -3.638 3.535
Mn Sc Cr
2 1 1
Direct
0.000 0.993 0.983 Mn
0.500 0.225 0.225 Mn
0.000 0.514 0.492 Sc
0.500 0.768 0.801 Cr
```

Calculated values
Density of states at the Fermi level = 4.36 states/eV per cell
ΔE_f = 244 meV per atom
Calculated volume = 14.1 A^3/atom
Total magnetization = 1.53 μB/f.u.

---

Hf3SiPb after structural relaxation, computed with PBE.

POSCAR file:
```
Hf3SiPb
1.0
5.276 0.000 0.000
0.000 5.276 0.000
0.000 0.000 5.276
Hf Si Pb
3 1 1
Direct
0.000 0.500 0.000 Hf
0.000 0.000 0.500 Hf
0.500 0.000 0.000 Hf
0.500 0.500 0.500 Si
0.000 0.000 0.000 Pb
```

Calculated values
Formation energy (no corrections) = 763 kJ/mol of formula units
Density of states at the Fermi level = 7.31 states/eV per cell
Calculated volume = 29.4 A^3/atom
Total magnetization = 0.00 μB/f.u.

---

BaLiDyI6 after structural relaxation, computed with PBE.

POSCAR file:
```
BaLiDyI6
1.0
-3.651 -4.178 -5.530
3.239 -3.620 6.145
-12.899 1.278 7.551
Li I Ba Dy
2 12 2 2
Direct
0.333 0.667 0.250 Li
0.667 0.333 0.750 Li
0.001 0.365 0.135 I
0.999 0.635 0.865 I
0.636 0.001 0.865 I
0.365 0.001 0.635 I
0.001 0.636 0.365 I
0.635 0.999 0.365 I
0.365 0.364 0.865 I
0.636 0.635 0.635 I
0.635 0.636 0.135 I
0.364 0.365 0.365 I
0.364 0.999 0.135 I
0.999 0.364 0.635 I
0.000 0.000 0.000 Ba
0.000 0.000 0.500 Ba
0.333 0.667 0.750 Dy
0.667 0.333 0.250 Dy
```

Calculated values
Formation energy (no corrections) = -1261 kJ/mol of formula units
Density of states at the Fermi level = 0.00 states/eV per cell
Calculated volume = 44.3 A^3/atom
Total magnetization = 0.00 μB/f.u.

---

GaSb2PtN after structural relaxation, computed with PBE.

POSCAR file:
```
GaSb2PtN
1.0
5.027 0.000 0.000
0.000 3.950 0.000
0.000 0.000 5.027
Sb N Ga Pt
2 1 1 1
Direct
0.500 0.000 0.000 Sb
0.000 0.000 0.500 Sb
0.000 0.000 0.000 N
0.500 0.500 0.500 Ga
0.000 0.500 0.000 Pt
```

Calculated values
Formation energy (no corrections) = 233 kJ/mol of formula units
Density of states at the Fermi level = 3.61 states/eV per cell
Calculated volume = 20.0 A^3/atom
Total magnetization = 0.00 μB/f.u.

---

CaAl10Ir2 after structural relaxation, computed with PBE.

POSCAR file:
```
CaAl10Ir2
1.0
-1.921 5.612 -3.486
-3.714 -4.526 -3.613
-7.023 1.169 5.754
Al Ir Ca
20 4 2
Direct
0.414 0.146 0.750 Al
0.157 0.843 0.898 Al
0.379 0.621 0.448 Al
0.854 0.586 0.750 Al
0.221 0.221 0.000 Al
0.224 0.480 0.750 Al
0.379 0.621 0.052 Al
0.779 0.779 0.500 Al
0.520 0.776 0.750 Al
0.843 0.157 0.398 Al
0.621 0.379 0.948 Al
0.779 0.779 0.000 Al
0.146 0.414 0.250 Al
0.843 0.157 0.102 Al
0.221 0.221 0.500 Al
0.157 0.843 0.602 Al
0.776 0.520 0.250 Al
0.480 0.224 0.250 Al
0.586 0.854 0.250 Al
0.621 0.379 0.552 Al
0.500 0.000 0.500 Ir
0.000 0.500 0.500 Ir
0.000 0.500 0.000 Ir
0.500 0.000 0.000 Ir
0.873 0.127 0.750 Ca
0.127 0.873 0.250 Ca
```

Calculated values
Density of states at the Fermi level = 5.36 states/eV per cell
ΔE_f = -528 meV per atom
Calculated volume = 16.5 A^3/atom
Total magnetization = 0.00 μB/f.u.

---

Sr2LaCl after structural relaxation, computed with PBE.

POSCAR file:
```
Sr2LaCl
1.0
5.828 0.000 0.000
0.000 4.095 -0.005
0.000 2.051 7.655
Sr Cl La
2 1 1
Direct
0.500 0.325 0.226 Sr
0.000 0.971 0.934 Sr
0.000 0.617 0.640 Cl
0.500 0.587 0.700 La
```

Calculated values
Formation energy (no corrections) = -202 kJ/mol of formula units
Density of states at the Fermi level = 4.96 states/eV per cell
Calculated volume = 45.7 A^3/atom
Total magnetization = 0.88 μB/f.u.

---

CaYIr after structural relaxation, computed with PBE.

POSCAR file:
```
CaYIr
1.0
8.104 0.000 -0.016
0.000 4.082 0.000
-6.322 0.000 9.656
Ir Ca Y
4 4 4
Direct
0.538 0.500 0.879 Ir
0.538 0.000 0.379 Ir
0.891 0.000 0.640 Ir
0.891 0.500 0.140 Ir
0.848 0.000 0.908 Ca
0.848 0.500 0.408 Ca
0.312 0.500 0.174 Ca
0.312 0.000 0.674 Ca
0.600 0.500 0.573 Y
0.140 0.000 0.313 Y
0.140 0.500 0.813 Y
0.600 0.000 0.073 Y
```

Calculated values
Density of states at the Fermi level = 7.02 states/eV per cell
ΔE_f = -493 meV per atom
Calculated volume = 26.6 A^3/atom
Total magnetization = 0.00 μB/f.u.

---

La6SmPb after structural relaxation, computed with PBE.

POSCAR file:
```
La6SmPb
1.0
5.121 0.000 0.000
0.000 5.121 0.000
0.000 0.000 10.502
La Sm Pb
6 1 1
Direct
0.000 0.500 0.756 La
0.000 0.500 0.244 La
0.500 0.000 0.756 La
0.500 0.000 0.244 La
0.500 0.500 0.500 La
0.500 0.500 0.000 La
0.000 0.000 0.500 Sm
0.000 0.000 0.000 Pb
```

Calculated values
Density of states at the Fermi level = 9.58 states/eV per cell
ΔE_f = -167 meV per atom
Calculated volume = 34.4 A^3/atom
Total magnetization = 0.00 μB/f.u.

---

Sc5In2Co2Ru after structural relaxation, computed with PBE.

POSCAR file:
```
Sc5In2Co2Ru
1.0
-1.768 2.642 0.635
-5.586 -1.547 -9.112
-7.122 -6.065 5.396
In Ru Co Sc
4 2 4 10
Direct
0.000 0.176 0.324 In
0.000 0.324 0.824 In
0.000 0.676 0.176 In
0.000 0.824 0.676 In
0.000 0.500 0.500 Ru
0.000 0.000 0.000 Ru
0.000 0.633 0.867 Co
0.000 0.867 0.367 Co
0.000 0.367 0.133 Co
0.000 0.133 0.633 Co
0.500 0.698 0.433 Sc
0.500 0.933 0.198 Sc
0.500 0.433 0.302 Sc
0.500 0.198 0.067 Sc
0.500 0.500 0.000 Sc
0.500 0.067 0.802 Sc
0.500 0.302 0.567 Sc
0.500 0.567 0.698 Sc
0.500 0.000 0.500 Sc
0.500 0.802 0.933 Sc
```

Calculated values
Density of states at the Fermi level = 11.14 states/eV per cell
ΔE_f = -386 meV per atom
Calculated volume = 18.9 A^3/atom
Total magnetization = 0.00 μB/f.u.

---

EuThPtAu after structural relaxation, computed with PBE.

POSCAR file:
```
EuThPtAu
1.0
-4.256 1.601 -2.474
-2.206 -3.022 -3.577
-4.559 -2.252 0.969
Pt Th Au Eu
1 1 1 1
Direct
0.250 0.250 0.250 Pt
0.000 0.000 0.000 Th
0.750 0.750 0.750 Au
0.500 0.500 0.500 Eu
```

Calculated values
Density of states at the Fermi level = 7.70 states/eV per cell
ΔE_f = -819 meV per atom
Calculated volume = 24.5 A^3/atom
Total magnetization = 7.03 μB/f.u.

---

Ac8ZnIr4 after structural relaxation, computed with PBE.

POSCAR file:
```
Ac8ZnIr4
1.0
4.329 0.000 0.936
2.127 10.536 0.641
-0.101 -0.681 10.947
Ir Ac Zn
4 8 1
Direct
0.186 0.157 0.471 Ir
0.350 0.469 0.831 Ir
0.827 0.813 0.533 Ir
0.661 0.502 0.175 Ir
0.549 0.298 0.604 Ac
0.148 0.649 0.055 Ac
0.823 0.623 0.730 Ac
0.822 0.012 0.344 Ac
0.188 0.959 0.665 Ac
0.461 0.674 0.403 Ac
0.180 0.356 0.284 Ac
0.863 0.325 0.948 Ac
0.585 0.896 0.934 Zn
```

Calculated values
Density of states at the Fermi level = 8.33 states/eV per cell
ΔE_f = -493 meV per atom
Calculated volume = 38.5 A^3/atom
Total magnetization = 0.00 μB/f.u.

---

Er7TmTh2 after structural relaxation, computed with PBE.

POSCAR file:
```
Er7TmTh2
1.0
3.340 -0.066 -1.184
0.574 10.803 -4.276
-2.085 -2.165 10.126
Th Er Tm
2 7 1
Direct
0.501 0.100 0.701 Th
0.499 0.900 0.299 Th
0.003 0.196 0.400 Er
0.997 0.804 0.600 Er
0.999 0.396 0.798 Er
0.500 0.500 0.500 Er
0.001 0.604 0.202 Er
0.500 0.300 0.101 Er
0.500 0.700 0.899 Er
0.000 0.000 0.000 Tm
```

Calculated values
Density of states at the Fermi level = 14.08 states/eV per cell
ΔE_f = 24 meV per atom
Calculated volume = 30.9 A^3/atom
Total magnetization = 0.00 μB/f.u.

---

V2Tc after structural relaxation, computed with PBE.

POSCAR file:
```
V2Tc
1.0
4.259 0.000 0.000
-2.129 3.651 -0.521
0.000 0.738 5.169
Tc V
2 4
Direct
0.833 0.667 0.172 Tc
0.167 0.333 0.828 Tc
0.500 0.000 0.000 V
0.167 0.333 0.336 V
0.833 0.667 0.664 V
0.500 0.000 0.500 V
```

Calculated values
Density of states at the Fermi level = 4.37 states/eV per cell
ΔE_f = -309 meV per atom
Calculated volume = 13.7 A^3/atom
Total magnetization = 0.00 μB/f.u.

---

LaGeRh after structural relaxation, computed with PBE.

POSCAR file:
```
LaGeRh
1.0
4.094 0.000 0.000
0.000 4.354 0.000
0.000 -2.177 3.771
Rh La Ge
1 1 1
Direct
0.167 0.000 0.000 Rh
0.667 0.333 0.667 La
0.167 0.667 0.333 Ge
```

Calculated values
Density of states at the Fermi level = 2.78 states/eV per cell
ΔE_f = -869 meV per atom
Calculated volume = 22.4 A^3/atom
Total magnetization = 0.00 μB/f.u.

---

BeIr3Rh after structural relaxation, computed with PBE.

POSCAR file:
```
BeIr3Rh
1.0
4.690 0.000 0.000
0.000 4.690 0.000
0.000 0.000 4.690
Ir Rh Be
3 1 1
Direct
0.000 0.500 0.000 Ir
0.500 0.000 0.000 Ir
0.000 0.000 0.500 Ir
0.000 0.000 0.000 Rh
0.500 0.500 0.500 Be
```

Calculated values
Density of states at the Fermi level = 9.44 states/eV per cell
ΔE_f = 2229 meV per atom
Calculated volume = 20.6 A^3/atom
Total magnetization = 0.00 μB/f.u.

---

BeTc2Ru after structural relaxation, computed with PBE.

POSCAR file:
```
BeTc2Ru
1.0
3.853 0.000 0.000
0.000 2.735 0.011
0.000 2.721 5.024
Be Tc Ru
1 2 1
Direct
0.500 0.250 0.250 Be
0.000 0.983 0.019 Tc
0.000 0.517 0.481 Tc
0.500 0.750 0.750 Ru
```

Calculated values
Density of states at the Fermi level = 3.27 states/eV per cell
ΔE_f = -28 meV per atom
Calculated volume = 13.2 A^3/atom
Total magnetization = 0.00 μB/f.u.

---

BeNbCo2 after structural relaxation, computed with PBE.

POSCAR file:
```
BeNbCo2
1.0
3.314 0.000 0.000
0.000 3.790 0.000
0.000 0.000 3.790
Nb Be Co
1 1 2
Direct
0.500 0.500 0.500 Nb
0.500 0.000 0.000 Be
0.000 0.500 0.000 Co
0.000 0.000 0.500 Co
```

Calculated values
Density of states at the Fermi level = 2.26 states/eV per cell
ΔE_f = -105 meV per atom
Calculated volume = 11.9 A^3/atom
Total magnetization = 0.00 μB/f.u.

---

Pu2CdPd3 after structural relaxation, computed with PBE.

POSCAR file:
```
Pu2CdPd3
1.0
-2.345 -2.281 -4.215
-2.001 -1.206 1.766
-2.608 8.341 0.315
Pd Cd Pu
3 1 2
Direct
0.500 0.000 0.000 Pd
0.828 0.828 0.656 Pd
0.172 0.172 0.344 Pd
0.000 0.000 0.000 Cd
0.657 0.657 0.314 Pu
0.343 0.343 0.686 Pu
```

Calculated values
Density of states at the Fermi level = 17.70 states/eV per cell
ΔE_f = -230 meV per atom
Calculated volume = 21.4 A^3/atom
Total magnetization = 11.50 μB/f.u.

---

TlBi2Cl6 after structural relaxation, computed with PBE.

POSCAR file:
```
TlBi2Cl6
1.0
6.533 0.000 0.000
0.000 6.570 -3.793
0.000 0.000 7.586
Cl Tl Bi
6 1 2
Direct
0.283 0.361 0.361 Cl
0.717 0.639 0.639 Cl
0.717 0.000 0.361 Cl
0.283 0.639 0.000 Cl
0.283 0.000 0.639 Cl
0.717 0.361 0.000 Cl
0.000 0.000 0.000 Tl
0.500 0.333 0.667 Bi
0.500 0.667 0.333 Bi
```

Calculated values
Formation energy (no corrections) = -752 kJ/mol of formula units
Density of states at the Fermi level = 4.29 states/eV per cell
Calculated volume = 36.2 A^3/atom
Total magnetization = 0.53 μB/f.u.

---

Fe2OsSe after structural relaxation, computed with PBE.

POSCAR file:
```
Fe2OsSe
1.0
4.288 0.000 0.000
0.000 4.288 0.000
0.000 0.000 2.924
Os Fe Se
1 2 1
Direct
0.500 0.000 0.500 Os
0.500 0.500 0.000 Fe
0.000 0.000 0.000 Fe
0.000 0.500 0.500 Se
```

Calculated values
Formation energy (no corrections) = 187 kJ/mol of formula units
Density of states at the Fermi level = 4.45 states/eV per cell
Calculated volume = 13.4 A^3/atom
Total magnetization = 4.28 μB/f.u.